Fe3P4O14 | PBE with a Hubbard U | relaxed

* energy: -7.0237 eV per atom
* total magnetization: 8.0 μB per cell
* space group: No. 2
* energy above the most stable polymorph in this dataset: 137 meV/atom

a = 5.9889 Å, b = 6.8978 Å, c = 7.6634 Å
α = 80.58°, β = 71.95°, γ = 76.88°
Last column: nearest neighbours and their distance in Å.
Atoms (fractional coordinates):
1 Fe 0.7456 0.5441 0.6640  5 O 1.92-2.11
2 Fe 0.2544 0.4559 0.3360  5 O 1.92-2.11
3 Fe 0.0000 0.0000 0.0000  4 O 1.98-2.01
4 P 0.2162 0.6880 0.6914  4 O 1.50-1.61
5 P 0.3666 0.3103 0.9207  4 O 1.50-1.63
6 P 0.6334 0.6897 0.0793  4 O 1.50-1.63
7 P 0.7838 0.3120 0.3086  4 O 1.50-1.61
8 O 0.4778 0.6836 0.5762  1 P 1.54
9 O 0.7397 0.8479 0.1220  1 P 1.50
10 O 0.9132 0.3992 0.4224  1 P 1.59
11 O 0.2603 0.1521 0.8780  1 P 1.50
12 O 0.0868 0.6008 0.5776  1 P 1.59
13 O 0.3406 0.3086 0.1259  1 P 1.53
14 O 0.0789 0.8842 0.7588  1 P 1.50
15 O 0.2154 0.5296 0.8702  2 P 1.61-1.63
16 O 0.9211 0.1158 0.2412  1 P 1.50
17 O 0.5222 0.3164 0.4238  1 P 1.54
18 O 0.6594 0.6914 0.8741  1 P 1.53
19 O 0.6291 0.3088 0.8028  1 P 1.55
20 O 0.7846 0.4704 0.1298  2 P 1.61-1.63
21 O 0.3709 0.6912 0.1972  1 P 1.55